No. 1
This record from Alexandria describes a geometry-optimized Pm4PrRu4 structure. The functional is PBE.

POSCAR file:
```
Pm4PrRu4
1.0
9.0120 0.0000 0.0000
0.0000 9.0120 0.0000
0.0000 0.0000 5.6864
Pm Pr Ru
8 2 8
direct
0.0613 0.6779 0.1244
0.1779 0.9387 0.6244
0.3221 0.5613 0.6244
0.4387 0.8221 0.1244
0.5613 0.1779 0.8756
0.6779 0.4387 0.3756
0.8221 0.0613 0.3756
0.9387 0.3221 0.8756
0.2500 0.2500 0.2500
0.7500 0.7500 0.7500
0.0127 0.6202 0.6119
0.1202 0.9873 0.1119
0.3798 0.5127 0.1119
0.4873 0.8798 0.6119
0.5127 0.1202 0.3881
0.6202 0.4873 0.8881
0.8798 0.0127 0.8881
0.9873 0.3798 0.3881
```

Results
Formation energy from the elements   0.010 eV per atom



No. 2
This record from Alexandria describes a geometry-optimized SmHo5ErTm2 structure. The functional is PBE.

POSCAR file:
```
SmHo5ErTm2
1.0
2.7748 -9.8695 0.0000
2.7748 9.8695 0.0000
0.0000 0.0000 10.5268
Sm Ho Er Tm
2 10 2 4
direct
0.2003 0.7997 0.5000
0.7997 0.2003 0.0000
0.0175 0.9825 0.5145
0.2816 0.7184 0.7953
0.3005 0.6995 0.1961
0.3929 0.6071 0.5124
0.4787 0.5213 0.2264
0.5213 0.4787 0.7264
0.6071 0.3929 0.0124
0.6995 0.3005 0.6961
0.7184 0.2816 0.2953
0.9825 0.0175 0.0145
0.4136 0.5864 0.9437
0.5864 0.4136 0.4437
0.1087 0.8913 0.2276
0.1133 0.8867 0.8068
0.8867 0.1133 0.3068
0.8913 0.1087 0.7276
```

Results
Formation energy from the elements   0.159 eV per atom



No. 3
This record from Alexandria describes a geometry-optimized ZrAlAg structure. The functional is PBE.

POSCAR file:
```
ZrAlAg
1.0
3.0312 0.0000 0.0000
0.0081 5.4147 0.0000
0.0069 1.7861 7.0415
Zr Al Ag
2 2 2
direct
0.0000 0.0000 0.0000
0.0008 0.2033 0.3758
0.5006 0.7310 0.3437
0.5014 0.8652 0.6900
0.4986 0.3761 0.6803
0.5008 0.4989 0.0330
```

Results
Formation energy from the elements   -0.189 eV per atom



No. 4
This record from Alexandria describes a geometry-optimized HfTiNbRh structure. The functional is PBE.

POSCAR file:
```
HfTiNbRh
1.0
0.0000 3.2487 3.2487
3.2487 0.0000 3.2487
3.2487 3.2487 0.0000
Hf Ti Nb Rh
1 1 1 1
direct
0.0000 0.0000 0.0000
0.5000 0.5000 0.5000
0.7500 0.7500 0.7500
0.2500 0.2500 0.2500
```

Results
Formation energy from the elements   -0.349 eV per atom
E above lowest polymorph   84 meV/atom



No. 5
This record from Alexandria describes a geometry-optimized Ca2MgW structure. The functional is PBE.

POSCAR file:
```
Ca2MgW
1.0
5.9197 -1.5334 0.0000
5.9197 1.5334 0.0000
-1.7278 0.0000 5.5074
Ca Mg W
2 1 1
direct
0.0000 0.0000 0.0000
0.2049 0.2049 0.6194
0.7674 0.7674 0.1723
0.4546 0.4546 0.4772
```

Results
Formation energy from the elements   0.659 eV per atom



No. 6
This record from Alexandria describes a geometry-optimized K3Sm2ErTe6 structure. The functional is PBE.

POSCAR file:
```
K3Sm2ErTe6
1.0
3.9290 -6.8055 0.0000
3.9290 6.8055 0.0000
-2.6219 0.0000 8.2507
K Sm Er Te
3 2 1 6
direct
0.0000 0.0000 0.0000
0.3313 0.6687 0.0000
0.6687 0.3313 0.0000
0.1664 0.8336 0.5000
0.8336 0.1664 0.5000
0.5000 0.5000 0.5000
0.1031 0.4300 0.2897
0.2436 0.2436 0.7109
0.4300 0.1031 0.2897
0.5700 0.8969 0.7103
0.7564 0.7564 0.2891
0.8969 0.5700 0.7103
```

Results
ΔE_f (raw)   -1.40 eV per atom



No. 7
This record from Alexandria describes a geometry-optimized YCr2Cl structure. The functional is PBE.

POSCAR file:
```
YCr2Cl
1.0
1.8220 -2.7300 0.0000
1.8220 2.7300 0.0000
0.0000 0.0000 8.8331
Y Cr Cl
1 2 1
direct
0.0000 0.0000 0.0000
0.5000 0.5000 0.2741
0.5000 0.5000 0.7259
0.0000 0.0000 0.5000
```

Results
ΔE_f (raw)   0.36 eV per atom
E above lowest polymorph   496 meV/atom



No. 8
This record from Alexandria describes a geometry-optimized NbTlZn2Ni structure. The functional is PBE.

POSCAR file:
```
NbTlZn2Ni
1.0
4.8018 0.0000 0.0000
0.0000 4.8018 0.0000
0.0000 0.0000 5.4108
Nb Tl Zn Ni
1 1 2 1
direct
0.0000 0.0000 0.0000
0.0000 0.0000 0.5000
0.0000 0.5000 0.5000
0.5000 0.0000 0.5000
0.5000 0.5000 0.0000
```

Results
Formation energy from the elements   1.596 eV per atom
E above lowest polymorph   247 meV/atom



No. 9
This record from Alexandria describes a geometry-optimized DyPa2Rh structure. The functional is PBE.

POSCAR file:
```
DyPa2Rh
1.0
1.7800 1.0277 9.3277
-1.7800 1.0277 9.3277
0.0000 -2.0554 9.3277
Dy Pa Rh
1 2 1
direct
0.0000 0.0000 0.0000
0.2341 0.2341 0.2341
0.7659 0.7659 0.7659
0.5000 0.5000 0.5000
```

Results
Formation energy from the elements   -0.115 eV per atom



No. 10
This record from Alexandria describes a geometry-optimized Cs4VSe4 structure. The functional is PBE.

POSCAR file:
```
Cs4VSe4
1.0
10.0161 0.0000 0.0000
0.0000 10.0161 0.0000
0.0000 0.0000 7.6177
Cs V Se
8 2 8
direct
0.0282 0.2500 0.0983
0.2500 0.0282 0.5983
0.2500 0.4718 0.5983
0.4718 0.2500 0.0983
0.5282 0.7500 0.9017
0.7500 0.5282 0.4017
0.7500 0.9718 0.4017
0.9718 0.7500 0.9017
0.2500 0.7500 0.2500
0.7500 0.2500 0.7500
0.0523 0.7500 0.4220
0.2500 0.5523 0.0780
0.2500 0.9477 0.0780
0.4477 0.7500 0.4220
0.5523 0.2500 0.5780
0.7500 0.0523 0.9220
0.7500 0.4477 0.9220
0.9477 0.2500 0.5780
```

Results
ΔE_f (raw)   -1.08 eV per atom



No. 11
This record from Alexandria describes a geometry-optimized GdAgRh structure. The functional is PBE.

POSCAR file:
```
GdAgRh
1.0
4.6146 0.0000 0.0000
-2.3073 3.9964 0.0000
0.0000 0.0000 3.4079
Gd Ag Rh
1 1 1
direct
0.0000 0.0000 0.0000
0.6667 0.3333 0.5010
0.3333 0.6667 0.4976
```

Results
Formation energy from the elements   -0.329 eV per atom



No. 12
This record from Alexandria describes a geometry-optimized LuInRuRh structure. The functional is PBE.

POSCAR file:
```
LuInRuRh
1.0
0.0000 3.2809 3.2809
3.2809 0.0000 3.2809
3.2809 3.2809 0.0000
Lu In Ru Rh
1 1 1 1
direct
0.0000 0.0000 0.0000
0.5000 0.5000 0.5000
0.2500 0.2500 0.2500
0.7500 0.7500 0.7500
```

Results
Formation energy from the elements   -0.536 eV per atom



No. 13
This record from Alexandria describes a geometry-optimized Cu4Bi2Se5 structure. The functional is PBE.

POSCAR file:
```
Cu4Bi2Se5
1.0
1.9751 1.1403 18.2788
-1.9751 1.1403 18.2788
0.0000 -2.2807 18.2788
Cu Bi Se
4 2 5
direct
0.0932 0.0932 0.0932
0.1830 0.1830 0.1830
0.8171 0.8171 0.8171
0.9068 0.9068 0.9068
0.3708 0.3708 0.3708
0.6292 0.6292 0.6292
0.0000 0.0000 0.0000
0.1363 0.1363 0.1363
0.2580 0.2580 0.2580
0.7420 0.7420 0.7420
0.8637 0.8637 0.8637
```

Results
ΔE_f (raw)   -0.13 eV per atom



No. 14
This record from Alexandria describes a geometry-optimized Ba4CeHf3O12 structure. The functional is PBE.

POSCAR file:
```
Ba4CeHf3O12
1.0
-4.2713 4.2713 4.2713
4.2713 -4.2713 4.2713
4.2713 4.2713 -4.2713
Ba Ce Hf O
4 1 3 12
direct
0.0000 0.0000 0.5000
0.0000 0.5000 0.0000
0.5000 0.0000 0.0000
0.5000 0.5000 0.5000
0.0000 0.0000 0.0000
0.0000 0.5000 0.5000
0.5000 0.0000 0.5000
0.5000 0.5000 0.0000
0.0000 0.2593 0.2593
0.0000 0.7407 0.7407
0.2500 0.5000 0.7500
0.2500 0.7500 0.5000
0.2593 0.0000 0.2593
0.2593 0.2593 0.0000
0.5000 0.2500 0.7500
0.5000 0.7500 0.2500
0.7407 0.0000 0.7407
0.7407 0.7407 0.0000
0.7500 0.2500 0.5000
0.7500 0.5000 0.2500
```

Results
ΔE_f (raw)   -3.29 eV per atom



No. 15
This record from Alexandria describes a geometry-optimized CrRuAu2 structure. The functional is PBE.

POSCAR file:
```
CrRuAu2
1.0
2.8911 0.0000 0.0000
0.0000 2.8911 0.0000
0.0000 0.0000 7.8641
Cr Ru Au
1 1 2
direct
0.0000 0.0000 0.0000
0.0000 0.0000 0.5000
0.5000 0.5000 0.2450
0.5000 0.5000 0.7550
```

Results
Formation energy from the elements   0.447 eV per atom
E above lowest polymorph   304 meV/atom



No. 16
This record from Alexandria describes a geometry-optimized La4SmAl2 structure. The functional is PBE.

POSCAR file:
```
La4SmAl2
1.0
2.7060 1.5623 8.5792
-2.7060 1.5623 8.5792
0.0000 -3.1246 8.5792
La Sm Al
4 1 2
direct
0.1013 0.1013 0.1013
0.3569 0.3569 0.3569
0.6431 0.6431 0.6431
0.8987 0.8987 0.8987
0.5000 0.5000 0.5000
0.2308 0.2308 0.2308
0.7692 0.7692 0.7692
```

Results
Formation energy from the elements   -0.165 eV per atom
E above lowest polymorph   0 meV/atom



No. 17
This record from Alexandria describes a geometry-optimized LiZnCl2 structure. The functional is PBE.

POSCAR file:
```
LiZnCl2
1.0
1.8042 -3.4177 0.0000
1.8042 3.4177 0.0000
0.0000 0.0000 7.3489
Li Zn Cl
1 1 2
direct
0.0000 0.0000 0.0000
0.0000 0.0000 0.5000
0.5000 0.5000 0.2267
0.5000 0.5000 0.7733
```

Results
ΔE_f (raw)   -0.86 eV per atom
E above lowest polymorph   137 meV/atom



No. 18
This record from Alexandria describes a geometry-optimized CePuHg structure. The functional is PBE.

POSCAR file:
```
CePuHg
1.0
5.1617 0.0000 0.0000
-2.5809 4.4702 0.0000
0.0000 0.0000 3.1613
Ce Pu Hg
1 1 1
direct
0.0000 0.0000 0.0000
0.6667 0.3333 0.0000
0.3333 0.6667 0.5000
```

Results
Formation energy from the elements   -0.070 eV per atom
E above lowest polymorph   94 meV/atom



No. 19
This record from Alexandria describes a geometry-optimized RbCo4Cl8 structure. The functional is PBE.

POSCAR file:
```
RbCo4Cl8
1.0
6.4822 0.0000 0.0000
-3.2411 5.6137 0.0000
0.0000 0.0000 9.8562
Rb Co Cl
1 4 8
direct
0.0000 0.0000 0.0000
0.3333 0.6667 0.2331
0.3333 0.6667 0.7669
0.6667 0.3333 0.2331
0.6667 0.3333 0.7669
0.0000 0.3414 0.6926
0.0000 0.6586 0.3074
0.3333 0.6667 0.0000
0.3414 0.0000 0.6926
0.3414 0.3414 0.3074
0.6586 0.0000 0.3074
0.6586 0.6586 0.6926
0.6667 0.3333 0.0000
```

Results
ΔE_f (raw)   -0.71 eV per atom



No. 20
This record from Alexandria describes a geometry-optimized SrMnPt2 structure. The functional is PBE.

POSCAR file:
```
SrMnPt2
1.0
3.3073 0.0000 0.0000
0.0000 3.3073 0.0000
0.0000 0.0000 7.1672
Sr Mn Pt
1 1 2
direct
0.0000 0.0000 0.0000
0.0000 0.0000 0.5000
0.5000 0.5000 0.3029
0.5000 0.5000 0.6971
```

Results
Formation energy from the elements   -0.407 eV per atom



No. 21
This record from Alexandria describes a geometry-optimized LaMgSc2 structure. The functional is PBE.

POSCAR file:
```
LaMgSc2
1.0
-2.2676 2.2676 11.0608
2.2676 -2.2676 11.0608
2.2676 2.2676 -11.0608
La Mg Sc
2 2 4
direct
0.0000 0.0000 0.0000
0.7500 0.2500 0.5000
0.2500 0.7500 0.5000
0.5000 0.5000 0.0000
0.1319 0.6250 0.0069
0.3750 0.3819 0.5069
0.6181 0.1250 0.9931
0.8750 0.8681 0.4931
```

Results
Formation energy from the elements   0.341 eV per atom



No. 22
This record from Alexandria describes a geometry-optimized CePuBiO structure. The functional is PBE.

POSCAR file:
```
CePuBiO
1.0
4.6847 0.0000 0.0000
0.0000 4.6847 0.0000
0.0000 0.0000 9.0358
Ce Pu Bi O
2 2 2 2
direct
0.2500 0.7500 0.0000
0.7500 0.2500 0.0000
0.2500 0.2500 0.3346
0.7500 0.7500 0.6654
0.2500 0.2500 0.7011
0.7500 0.7500 0.2989
0.2500 0.2500 0.0805
0.7500 0.7500 0.9195
```

Results
ΔE_f (raw)   -1.65 eV per atom



No. 23
This record from Alexandria describes a geometry-optimized Y12Er5Pu structure. The functional is PBE.

POSCAR file:
```
Y12Er5Pu
1.0
3.0993 -5.3735 0.0000
3.0993 5.3735 0.0000
-2.0567 0.0000 17.0852
Y Er Pu
12 5 1
direct
0.0556 0.7263 0.6646
0.1109 0.1109 0.8335
0.2224 0.5557 0.1673
0.2737 0.9444 0.3354
0.3850 0.3850 0.6647
0.4443 0.7776 0.8327
0.5557 0.2224 0.1673
0.6150 0.6150 0.3353
0.7263 0.0556 0.6646
0.7776 0.4443 0.8327
0.8891 0.8891 0.1665
0.9444 0.2737 0.3354
0.1669 0.8331 0.0000
0.3334 0.6666 0.5000
0.5000 0.5000 0.0000
0.6666 0.3334 0.5000
0.8331 0.1669 0.0000
0.0000 0.0000 0.5000
```

Results
Formation energy from the elements   0.021 eV per atom



No. 24
This record from Alexandria describes a geometry-optimized K2TcBr structure. The functional is PBE.

POSCAR file:
```
K2TcBr
1.0
-2.6371 3.1240 4.6597
2.6371 -3.1240 4.6597
2.6371 3.1240 -4.6597
K Tc Br
2 1 1
direct
0.2229 0.2229 0.0000
0.7771 0.7771 0.0000
0.5000 0.0000 0.5000
0.0000 0.5000 0.5000
```

Results
ΔE_f (raw)   0.55 eV per atom
E above lowest polymorph   224 meV/atom